Co3BrO | PBE+U | optimized geometry

Values from the calculation:
The volume comes out at 66 Å³/cell. The crystal system is cubic. For the total energy, the calculation gives -19.70 eV/cell. The calculation puts the density of states at the Fermi level at 0.90 states/eV/f.u.

Structure (CIF):
```
data_Co3BrO
_chemical_formula_sum 'Co3 Br1 O1'
_symmetry_space_group_name_H-M 'P m -3 m'
_symmetry_Int_Tables_number 221
_symmetry_space_group_name_Hall '-P 4 2 3'
_cell_length_a 4.048
_cell_length_b 4.048
_cell_length_c 4.048
_cell_angle_alpha 90.00
_cell_angle_beta 90.00
_cell_angle_gamma 90.00
loop_
_atom_site_label
_atom_site_fract_x
_atom_site_fract_y
_atom_site_fract_z
_atom_site_occupancy
Co1 0.000 0.000 0.500 1
Br1 0.500 0.500 0.500 1
O1 0.000 0.000 0.000 1
```

---

Co2BrO | PBE+U | optimized geometry

Values from the calculation:
The volume comes out at 274 Å³/cell. The crystal system is tetragonal. For the total energy, the calculation gives -73.87 eV/cell. The calculation puts the density of states at the Fermi level at 1.56 states/eV/f.u.

Structure (CIF):
```
data_Co2BrO
_chemical_formula_sum 'Co8 Br4 O4'
_symmetry_space_group_name_H-M 'I -4 2 d'
_symmetry_Int_Tables_number 122
_symmetry_space_group_name_Hall 'I -4 2bw'
_cell_length_a 5.181
_cell_length_b 5.181
_cell_length_c 10.201
_cell_angle_alpha 90.00
_cell_angle_beta 90.00
_cell_angle_gamma 90.00
loop_
_atom_site_label
_atom_site_fract_x
_atom_site_fract_y
_atom_site_fract_z
_atom_site_occupancy
Co1 0.142 0.250 0.125 1
Br1 0.000 0.000 0.500 1
O1 0.000 0.000 0.000 1
```

---

CoBrO3 | PBE+U | optimized geometry

Values from the calculation:
The volume comes out at 52 Å³/cell. The crystal system is cubic. For the total energy, the calculation gives -20.29 eV/cell. The calculation puts the density of states at the Fermi level at 2.28 states/eV/f.u.

Structure (CIF):
```
data_CoBrO3
_chemical_formula_sum 'Co1 Br1 O3'
_symmetry_space_group_name_H-M 'P m -3 m'
_symmetry_Int_Tables_number 221
_symmetry_space_group_name_Hall '-P 4 2 3'
_cell_length_a 3.727
_cell_length_b 3.727
_cell_length_c 3.727
_cell_angle_alpha 90.00
_cell_angle_beta 90.00
_cell_angle_gamma 90.00
loop_
_atom_site_label
_atom_site_fract_x
_atom_site_fract_y
_atom_site_fract_z
_atom_site_occupancy
Co1 0.000 0.000 0.000 1
Br1 0.500 0.500 0.500 1
O1 0.000 0.000 0.500 1
```

---

CoBrO | PBE+U | optimized geometry

Values from the calculation:
The volume comes out at 497 Å³/cell. The crystal system is orthorhombic. For the total energy, the calculation gives -106.33 eV/cell.

Structure (CIF):
```
data_CoBrO
_chemical_formula_sum 'Co8 Br8 O8'
_symmetry_space_group_name_H-M 'P b c a'
_symmetry_Int_Tables_number 61
_cell_length_a 5.892
_cell_length_b 13.348
_cell_length_c 6.320
_cell_angle_alpha 90.00
_cell_angle_beta 90.00
_cell_angle_gamma 90.00
loop_
_symmetry_equiv_pos_as_xyz
'x,y,z'
'-x,-y,-z'
'-x+1/2,-y,z+1/2'
'x+1/2,y,-z+1/2'
'x+1/2,-y+1/2,-z'
'-x+1/2,y+1/2,z'
'-x,y+1/2,-z+1/2'
'x,-y+1/2,z+1/2'
loop_
_atom_site_label
_atom_site_fract_x
_atom_site_fract_y
_atom_site_fract_z
_atom_site_occupancy
Co1 0.204 0.009 0.133 1
Br1 0.069 0.136 0.409 1
O1 0.115 0.045 0.856 1
```

---

CoBr2O | PBE+U | optimized geometry

Values from the calculation:
The volume comes out at 268 Å³/cell. The crystal system is trigonal. For the total energy, the calculation gives -37.44 eV/cell. The calculation puts the density of states at the Fermi level at 0.07 states/eV/f.u.

Structure (CIF):
```
data_CoBr2O
_chemical_formula_sum 'Co3 Br6 O3'
_symmetry_space_group_name_H-M 'R -3 m'
_symmetry_Int_Tables_number 166
_symmetry_space_group_name_Hall '-R 3 2"'
_cell_length_a 3.8983
_cell_length_b 3.8983
_cell_length_c 20.3734
_cell_angle_alpha 90.00
_cell_angle_beta 90.00
_cell_angle_gamma 120.00
loop_
_atom_site_label
_atom_site_fract_x
_atom_site_fract_y
_atom_site_fract_z
_atom_site_occupancy
Co1 0.0000 0.0000 0.0000 1
Br1 0.0000 0.0000 0.4000 1
O1 0.0000 0.0000 0.5000 1
```

---

CoBrO3 | PBE+U | optimized geometry

Values from the calculation:
The volume comes out at 62 Å³/cell. The crystal system is cubic. For the total energy, the calculation gives -18.29 eV/cell. The calculation puts the density of states at the Fermi level at 4.43 states/eV/f.u.

Structure (CIF):
```
data_CoBrO3
_chemical_formula_sum 'Co1 Br1 O3'
_symmetry_space_group_name_H-M 'P m -3 m'
_symmetry_Int_Tables_number 221
_symmetry_space_group_name_Hall '-P 4 2 3'
_cell_length_a 3.952
_cell_length_b 3.952
_cell_length_c 3.952
_cell_angle_alpha 90.00
_cell_angle_beta 90.00
_cell_angle_gamma 90.00
loop_
_atom_site_label
_atom_site_fract_x
_atom_site_fract_y
_atom_site_fract_z
_atom_site_occupancy
Co1 0.000 0.000 0.000 1
Br1 0.500 0.500 0.500 1
O1 0.000 0.500 0.500 1
```